# 1
Computed, not measured: crystalline Ti2PdPt8 at its relaxed geometry at the PBE level of DFT.

- Total magnetic moment: 0.0000 μB per atom
- Uncorrected energy: -75.32 eV/cell

a b c (Å): 3.9243 7.9134 7.2610
angles (deg): 123.02 105.68 90.00
Positions (direct):
Pt 0.0000 0.7365 0.0000
Pt 0.6607 0.4178 0.3213
Pt 0.1767 0.1767 0.3533
Pd 0.5000 0.0000 0.0000
Pt 0.0000 0.2635 0.0000
Ti 0.1620 0.6620 0.3240
Pt 0.3393 0.5822 0.6787
Ti 0.8380 0.3380 0.6760
Pt 0.8233 0.8233 0.6467
Pt 0.3393 0.0964 0.6786
Pt 0.6607 0.9036 0.3214

# 2
Computed, not measured: crystalline Hf2In2Cu at its relaxed geometry at the PBE level of DFT.

- E above lowest polymorph: 0.00 kcal/mol of atoms
- Total magnetic moment: 0.0000 μB per atom

a b c (Å): 6.7551 6.7551 4.5549
angles (deg): 90.00 90.00 90.00
Positions (direct):
In 0.3533 0.8533 0.0000
Hf 0.1632 0.6632 0.5000
In 0.8533 0.6467 0.0000
Hf 0.6632 0.8368 0.5000
Hf 0.3368 0.1632 0.5000
Hf 0.8368 0.3368 0.5000
In 0.6467 0.1467 0.0000
Cu 0.5000 0.5000 0.0000
In 0.1467 0.3533 0.0000
Cu 0.0000 0.0000 0.0000

# 3
Computed, not measured: crystalline NaAgGeI4 at its relaxed geometry at the PBE level of DFT.

- Total magnetic moment: 0.0000 μB per atom
- Uncorrected energy: -37.59 eV/cell

a b c (Å): 8.9729 9.0400 9.0400
angles (deg): 59.13 60.25 60.25
Positions (direct):
Na 0.0000 0.5000 0.5000
I 0.7477 0.2393 0.2652
I 0.7716 0.2336 0.7336
Ge 0.5000 0.0000 0.5000
Ag 0.3864 0.3636 0.8636
I 0.2611 0.2336 0.7336
Ag 0.6136 0.6364 0.1364
I 0.2523 0.2348 0.2607
Ge 0.0000 0.0000 0.5000
I 0.7477 0.7652 0.7393
I 0.7389 0.7664 0.2664
I 0.2523 0.7607 0.7348
I 0.2284 0.7664 0.2664
Na 0.0000 0.0000 0.0000

# 4
Computed, not measured: crystalline TaSbRu2 at its relaxed geometry at the PBE level of DFT.

- Total magnetic moment: 0.0000 μB per atom
- Uncorrected energy: -34.54 eV/cell

a b c (Å): 4.6232 4.6232 5.0990
angles (deg): 78.24 78.24 39.80
Positions (direct):
Sb 0.2500 0.2500 0.2500
Ru 0.0092 0.0092 0.9850
Ta 0.7500 0.7500 0.7500
Ru 0.4908 0.4908 0.5150